A relaxed CoW2 crystal. Source: OQMD, functional PBE.

Calculated total energy ... -324.842 eV per cell

abc: 9.2595 9.2595 5.0758
angles: 90.00 90.00 90.00
Each line ends with the local moment (μB).
Fractional coordinates of all 30 atoms:
W 0.1036 0.8964 0.5000  0.12
W 0.3964 0.3964 0.0000  0.11
W 0.1860 0.1860 0.2497  0.01
W 0.3140 0.6860 0.2503  0.01
W 0.0579 0.7285 0.0000  0.00
W 0.8140 0.8140 0.7503  0.01
W 0.8964 0.1036 0.5000  0.12
W 0.7285 0.0579 0.0000  -0.01
W 0.8140 0.8140 0.2497  0.01
W 0.2285 0.4421 0.5000  -0.01
W 0.3140 0.6860 0.7497  0.00
W 0.6860 0.3140 0.7497  0.01
W 0.4421 0.2285 0.5000  -0.01
W 0.9421 0.2715 0.0000  0.00
W 0.7715 0.5579 0.5000  -0.01
W 0.6036 0.6036 0.0000  0.11
W 0.5579 0.7715 0.5000  -0.01
W 0.6860 0.3140 0.2503  0.00
W 0.2715 0.9421 0.0000  -0.01
W 0.1860 0.1860 0.7503  0.01
Co 0.5360 0.8668 0.0000  0.46
Co 0.3668 0.9640 0.5000  0.48
Co 0.0360 0.6332 0.5000  0.48
Co 0.6332 0.0360 0.5000  0.48
Co 0.5000 0.5000 0.5000  0.81
Co 0.0000 0.0000 0.0000  0.84
Co 0.8668 0.5360 0.0000  0.46
Co 0.4640 0.1332 0.0000  0.46
Co 0.9640 0.3668 0.5000  0.48
Co 0.1332 0.4640 0.0000  0.46